The following is a DFT calculation (GGA-PBE) of Na2Ga6Pt after structural relaxation.

Output
- formation enthalpy at 0 K (eV/atom) = -0.266
- Fermi-level density of states (states/eV/f.u.) = 3.28

Cell: 10.1210 5.8208 6.0587 Å, 90.00 104.36 90.00°
Closest atoms and distances in Å follow each position.
Space group C2/m (No. 12)
Symmetry-distinct sites (fractional):
Na  0.1574  0.0000  0.3666 [4 per cell]  9 Ga 3.03-3.22, 1 Pt 3.36
Ga  0.1209  0.2263  0.8327 [8 per cell]  1 Pt 2.62, 4 Ga 2.63-2.90
Ga  0.1280  0.5000  0.1855 [4 per cell]  1 Pt 2.56, 2 Ga 2.65
Pt  0.0000  0.5000  0.5000 [2 per cell]  6 Ga 2.56-2.62